The following is a DFT calculation (PBE) of CsGa2H7 after structural relaxation.

Results
The value obtained for the calculated total energy is -3.00 eV/atom.

a b c (Å): 7.8230 7.8230 3.7610
angles (deg): 90.00 90.00 138.72
Closest atoms and distances in Å follow each position.
Atoms (fractional coordinates):
Cs 0.0000 0.0000 0.0000  16 H 3.11-3.34
Ga 0.3816 0.6184 0.5000  3 H 1.57-1.73
Ga 0.6184 0.3816 0.5000  3 H 1.57-1.73
H 0.0773 0.3893 0.5000  1 Ga 1.57
H 0.3893 0.0773 0.5000  1 Ga 1.57
H 0.4014 0.5986 0.0000  2 Ga 1.90
H 0.5000 0.5000 0.5000  2 Ga 1.73
H 0.5986 0.4014 0.0000  2 Ga 1.90
H 0.6107 0.9227 0.5000  1 Ga 1.57
H 0.9227 0.6107 0.5000  1 Ga 1.57